Entry 1:
First-principles (GGA-PBE) data for an optimized crystal structure of K3La, as listed in Alexandria.

Summary:
Space group: No. 166
E: -1.69 eV per atom
Total magnetic moment: 0.0 μB per cell
V: 55.5 A^3/atom

Structure (POSCAR):
```
K3La
1.0
7.183 4.147 1.242
-7.183 4.147 1.242
0.000 -8.294 1.242
K La
3 1
direct
0.000 0.500 0.500 K
0.500 0.000 0.500 K
0.500 0.500 0.000 K
0.000 0.000 0.000 La
```

***

Entry 2:
First-principles (GGA-PBE) data for an optimized crystal structure of OsRuCl, as listed in Alexandria.

Summary:
Uncorrected formation energy: 0.50 eV/atom
Space group: No. 156
Distance to the lowest polymorph of the same formula: 0.0000 eV per atom
Total magnetic moment: 0.0 μB per cell
V: 14.9 A^3/atom

Structure (POSCAR):
```
OsRuCl
1.0
2.870 0.000 0.000
-1.435 2.486 0.000
0.000 0.000 6.281
Os Ru Cl
1 1 1
direct
0.000 0.000 0.000 Os
0.667 0.333 0.312 Ru
0.333 0.667 0.648 Cl
```

***

Entry 3:
First-principles (GGA-PBE) data for an optimized crystal structure of Nb3GeSe, as listed in Alexandria.

Summary:
Uncorrected formation energy: 0.70 eV/atom
Space group: No. 221
Distance to the lowest polymorph of the same formula: 0.0000 eV per atom
Total magnetic moment: 0.0 μB per cell
V: 21.3 A^3/atom

Structure (POSCAR):
```
Nb3GeSe
1.0
4.742 0.000 0.000
0.000 4.742 0.000
0.000 0.000 4.742
Nb Ge Se
3 1 1
direct
0.000 0.000 0.500 Nb
0.000 0.500 0.000 Nb
0.500 0.000 0.000 Nb
0.500 0.500 0.500 Ge
0.000 0.000 0.000 Se
```

***

Entry 4:
First-principles (GGA-PBE) data for an optimized crystal structure of AgPdN2O, as listed in Alexandria.

Summary:
Uncorrected formation energy: 1.69 eV/atom
Space group: No. 123
Total magnetic moment: 1.2 μB per cell
V: 16.6 A^3/atom

Structure (POSCAR):
```
AgPdN2O
1.0
3.700 0.000 0.000
0.000 3.700 0.000
0.000 0.000 6.044
Ag Pd N O
1 1 2 1
direct
0.000 0.000 0.000 Ag
0.000 0.000 0.500 Pd
0.000 0.500 0.500 N
0.500 0.000 0.500 N
0.500 0.500 0.000 O
```

***

Entry 5:
First-principles (GGA-PBE) data for an optimized crystal structure of BeTc2IrRu, as listed in Alexandria.

Summary:
Space group: No. 123
E: -7.01 eV per atom
Total magnetic moment: 0.0 μB per cell
V: 16.8 A^3/atom

Structure (POSCAR):
```
BeTc2IrRu
1.0
4.583 0.000 0.000
0.000 4.583 0.000
0.000 0.000 3.997
Be Tc Ir Ru
1 2 1 1
direct
0.000 0.000 0.000 Be
0.000 0.500 0.500 Tc
0.500 0.000 0.500 Tc
0.500 0.500 0.000 Ir
0.000 0.000 0.500 Ru
```